[1]
CsTl3Se3 | PBE | optimized geometry

```
data_CsTl3Se3
_cell_length_a 16.8410
_cell_length_b 4.6105
_cell_length_c 14.8649
_cell_angle_alpha 90.00
_cell_angle_beta 107.19
_cell_angle_gamma 90.00
_space_group_name_H-M_alt 'C 1 2/m 1'
_space_group_IT_number 12
_space_group_name_Hall '-C 2y'
loop_
_atom_site_label
_atom_site_type_symbol
_atom_site_fract_x
_atom_site_fract_y
_atom_site_fract_z
_atom_site_occupancy
Cs1 Cs 0.1859 0.0000 0.2282 1
Tl1 Tl 0.0213 0.5000 0.7523 1
Tl2 Tl 0.1572 0.0000 0.5310 1
Tl3 Tl 0.1731 0.0000 0.9138 1
Se1 Se 0.1321 0.0000 0.7156 1
Se2 Se 0.1458 0.5000 0.0169 1
Se3 Se 0.1499 0.5000 0.4078 1
```

ΔE to the lowest computed polymorph	0.0	meV per atom
N(E_F)	0.45	states/eV per atom
formation energy from raw total energies	-0.494	eV per atom
magnetic moment	0.0	μB per formula unit

[2]
Cs7AgBr5 | PBE | optimized geometry

```
data_Cs7AgBr5
_cell_length_a 5.1823
_cell_length_b 9.1046
_cell_length_c 31.5081
_cell_angle_alpha 89.92
_cell_angle_beta 89.99
_cell_angle_gamma 73.47
_space_group_name_H-M_alt 'P 1'
_space_group_IT_number 1
_space_group_name_Hall 'P 1'
loop_
_atom_site_label
_atom_site_type_symbol
_atom_site_fract_x
_atom_site_fract_y
_atom_site_fract_z
_atom_site_occupancy
Cs1 Cs 0.0000 0.0000 0.0000 1
Cs2 Cs 0.9999 0.9997 0.7128 1
Cs3 Cs 0.0911 0.8126 0.4316 1
Cs4 Cs 0.0915 0.8107 0.2813 1
Cs5 Cs 0.2734 0.4508 0.0711 1
Cs6 Cs 0.2732 0.4516 0.6416 1
Cs7 Cs 0.3708 0.2570 0.3562 1
Cs8 Cs 0.4481 0.1008 0.8564 1
Cs9 Cs 0.5455 0.9057 0.1417 1
Cs10 Cs 0.5451 0.9078 0.5711 1
Cs11 Cs 0.7273 0.5461 0.7811 1
Cs12 Cs 0.7272 0.5466 0.9315 1
Cs13 Cs 0.8188 0.3572 0.2128 1
Cs14 Cs 0.8185 0.3596 0.4997 1
Ag1 Ag 0.1175 0.7654 0.8561 1
Ag2 Ag 0.7016 0.5920 0.3567 1
Br1 Br 0.1833 0.6300 0.1774 1
Br2 Br 0.1831 0.6320 0.5354 1
Br3 Br 0.3664 0.2664 0.7475 1
Br4 Br 0.3664 0.2670 0.9652 1
Br5 Br 0.4525 0.0900 0.2475 1
Br6 Br 0.4521 0.0925 0.4652 1
Br7 Br 0.6353 0.7273 0.6773 1
Br8 Br 0.6356 0.7269 0.0354 1
Br9 Br 0.9094 0.1784 0.1064 1
Br10 Br 0.9091 0.1798 0.6063 1
```

N(E_F)	0.30	states/eV per atom
formation energy from raw total energies	-1.338	eV per atom
magnetic moment	0.0	μB per formula unit

Q: Which formula does entry 1 have?
A: CsTl3Se3